DFT (PBE) results for an optimized crystal structure of Cs3Pr2NdS6.

ΔE_f (raw), meV/atom: -1805
Symmetry: C2/m

Lattice parameters (Å, degrees): 7.403 7.403 8.474 98.37 98.37 120.00
Fractional positions:
Cs (0.167, 0.833, 0.500)
Cs (0.833, 0.167, 0.500)
Cs (0.500, 0.500, 0.500)
S (0.606, 0.938, 0.813)
S (0.731, 0.731, 0.187)
S (0.394, 0.062, 0.187)
S (0.938, 0.606, 0.813)
S (0.269, 0.269, 0.813)
S (0.062, 0.394, 0.187)
Pr (0.667, 0.333, 0.000)
Pr (0.333, 0.667, 0.000)
Nd (0.000, 0.000, 0.000)



DFT (PBE) results for an optimized crystal structure of Cs2PrNdS4.

ΔE_f (raw), meV/atom: -1806
Symmetry: P2/m

Lattice parameters (Å, degrees): 4.268 7.393 8.470 106.89 90.00 90.00
Fractional positions:
Pr (0.000, 0.000, 0.000)
S (0.500, 0.231, 0.188)
S (0.000, 0.273, 0.813)
S (0.500, 0.769, 0.812)
S (0.000, 0.727, 0.187)
Cs (0.500, 0.000, 0.500)
Cs (0.000, 0.500, 0.500)
Nd (0.500, 0.500, 0.000)



DFT (PBE) results for an optimized crystal structure of Cs4PrNd3Se8.

ΔE_f (raw), meV/atom: -1728
Symmetry: R-3m

Lattice parameters (Å, degrees): 8.822 9.838 8.823 116.65 120.00 90.00
Fractional positions:
Nd (0.000, 0.500, 0.500)
Nd (0.500, 0.500, 0.000)
Nd (0.500, 0.500, 0.500)
Pr (0.000, 0.500, 0.000)
Se (0.769, 0.309, 0.538)
Se (0.271, 0.309, 0.040)
Se (0.729, 0.691, 0.960)
Se (0.231, 0.691, 0.960)
Se (0.730, 0.690, 0.460)
Se (0.270, 0.310, 0.540)
Se (0.231, 0.691, 0.462)
Se (0.769, 0.309, 0.040)
Cs (0.000, 0.000, 0.000)
Cs (0.000, 0.000, 0.500)
Cs (0.500, 0.000, 0.500)
Cs (0.500, 0.000, 0.000)